--- A ---
LiLaMo: optimized geometry, PBE-GGA.

Properties
The calculation puts the volume at 64.01 Å³/cell.

Cell: 5.6196 5.6196 5.6196 Å, 142.95 142.95 53.40°
Closest atoms and distances in Å follow each position.
Atoms (fractional coordinates):
Mo 0.6890 0.6890 0.0000  4 Li 2.79
Li 0.3081 0.3081 0.0000  4 Mo 2.79, 1 La 3.06
La 0.0029 0.0029 0.0000  5 Li 3.06-3.19, 5 Mo 3.14-3.15

***

--- B ---
LiLaMo: optimized geometry, PBE-GGA.

Properties
The calculation puts the volume at 61.81 Å³/cell.

Cell: 5.0629 5.0629 2.7846 Å, 90.00 90.00 120.00°
Closest atoms and distances in Å follow each position.
Atoms (fractional coordinates):
La 0.0000 0.0000 0.0556  2 La 2.78, 3 Li 3.03
Mo 0.3333 0.6667 0.5991  2 Mo 2.78, 3 Li 3.01
Li 0.6667 0.3333 0.3453  2 Li 2.78, 3 Mo 3.01, 3 La 3.03

***

--- C ---
LiLaMo: optimized geometry, PBE-GGA.

Properties
The calculation puts the volume at 66.34 Å³/cell.

Cell: 7.7507 7.5093 3.1308 Å, 82.52 73.87 23.61°
Closest atoms and distances in Å follow each position.
Atoms (fractional coordinates):
La 0.0213 0.0213 0.9787  2 Mo 2.75
Mo 0.6669 0.6669 0.3331  2 Li 2.74, 2 La 2.75
Li 0.3117 0.3117 0.6883  2 Mo 2.74

***

--- D ---
LiLaMo: optimized geometry, PBE-GGA.

Properties
The calculation puts the volume at 76.25 Å³/cell.

Cell: 4.7597 4.7597 4.7597 Å, 60.00 60.00 60.00°
Closest atoms and distances in Å follow each position.
Atoms (fractional coordinates):
La 0.7500 0.7500 0.7500  4 Mo 2.91, 4 Li 2.91
Mo 0.5000 0.5000 0.5000  4 La 2.91
Li 0.0000 0.0000 0.0000  4 La 2.91

***

It is D that is the least stable of them.

***

--- A ---
LiLaMo: optimized geometry, PBE-GGA.

Properties
The calculation puts the volume at 63.03 Å³/cell.

Cell: 7.8694 7.8694 7.8694 Å, 158.92 158.92 29.99°
Closest atoms and distances in Å follow each position.
Atoms (fractional coordinates):
Li 0.3137 0.3137 0.0000  4 Li 2.88, 4 Mo 2.91
Mo 0.6772 0.6772 0.0000  4 Mo 2.88, 4 Li 2.91
La 0.0091 0.0091 0.0000  4 La 2.88

***

--- B ---
LiLaMo: optimized geometry, PBE-GGA.

Properties
The calculation puts the volume at 74.69 Å³/cell.

Cell: 4.7270 4.7270 4.7270 Å, 60.00 60.00 60.00°
Closest atoms and distances in Å follow each position.
Atoms (fractional coordinates):
La 0.0000 0.0000 0.0000  4 Mo 2.89
Mo 0.7500 0.7500 0.7500  4 Li 2.89, 4 La 2.89
Li 0.5000 0.5000 0.5000  4 Mo 2.89

***

--- C ---
LiLaMo: optimized geometry, PBE-GGA.

Properties
The calculation puts the volume at 61.29 Å³/cell.

Cell: 5.4116 5.4116 5.4116 Å, 148.91 130.96 59.21°
Closest atoms and distances in Å follow each position.
Atoms (fractional coordinates):
Li 0.3168 0.3168 0.0000  2 Li 2.90, 5 La 2.96-3.19, 4 Mo 2.97
Mo 0.6805 0.6805 0.0000  2 Mo 2.90, 4 Li 2.97, 5 La 3.03-3.15
La 0.0027 0.0027 0.0000  2 La 2.90, 5 Li 2.96-3.19, 5 Mo 3.03-3.15

***

It is B that is the least stable of them.

***

--- A ---
Li3LaN: optimized geometry, PBE-GGA.

Properties
The calculation puts the volume at 76.34 Å³/cell.

Cell: 4.2421 4.2421 4.2421 Å, 90.00 90.00 90.00°
Closest atoms and distances in Å follow each position.
Atoms (fractional coordinates):
N 0.0000 0.0000 0.0000  6 Li 2.12
Li 0.0000 0.0000 0.5000  2 N 2.12
Li 0.0000 0.5000 0.0000  2 N 2.12
Li 0.5000 0.0000 0.0000  2 N 2.12
La 0.5000 0.5000 0.5000  12 Li 3.00

***

--- B ---
Li3LaN: optimized geometry, PBE-GGA.

Properties
The calculation puts the volume at 241.87 Å³/cell.

Cell: 6.2306 6.2306 6.2306 Å, 90.00 90.00 90.00°
Closest atoms and distances in Å follow each position.
Atoms (fractional coordinates):
Li 0.0000 0.5000 0.0000  2 La 3.12
Li 0.5000 0.0000 0.0000  2 La 3.12
Li 0.0000 0.0000 0.5000  2 La 3.12
N 0.5000 0.5000 0.5000  12 Li 4.41
La 0.0000 0.0000 0.0000  6 Li 3.12

***

It is B that is the least stable of them.